Entry 1:
The following is a GGA-PBE calculation of Pr5Dy4Tm4 after structural relaxation, from Alexandria via LeMat-Bulk.

```
Pr5Dy4Tm4
1.0
-6.485 6.485 2.534
6.485 -6.485 2.534
6.485 6.485 -2.534
Pr Dy Tm
5 4 4
Cartesian
0.000 0.000 0.000
5.991 3.936 0.000
2.549 -0.494 2.534
3.936 6.980 0.000
0.494 2.549 2.534
3.029 2.014 0.000
4.472 -3.456 2.534
2.014 9.942 0.000
3.456 4.472 2.534
7.951 0.970 0.000
0.970 5.020 0.000
5.515 1.465 2.534
-1.465 5.515 2.534
```

Its total energy is -4.60 eV per atom. The space group is I4/m (87). The crystal system is tetragonal.



Entry 2:
The following is a GGA-PBE calculation of PrDyTm2 after structural relaxation, from Alexandria via LeMat-Bulk.

```
PrDyTm2
1.0
6.940 0.000 0.000
0.000 6.903 0.000
-0.008 0.000 11.062
Pr Dy Tm
4 4 8
Cartesian
0.875 0.882 4.289
0.871 6.021 9.820
6.061 0.882 1.242
6.057 6.021 6.773
2.611 2.609 6.788
2.614 4.294 1.258
4.318 2.609 9.804
4.322 4.294 4.273
0.861 2.586 9.815
0.864 4.316 4.284
2.609 0.860 1.239
2.605 6.043 6.770
4.327 0.860 4.292
4.323 6.043 9.823
6.068 2.586 6.778
6.072 4.316 1.247
```

Its total energy is -4.37 eV per atom. The space group is P2/c (13). The crystal system is monoclinic.



Entry 3:
The following is a GGA-PBE calculation of Pr4Dy3Tm2 after structural relaxation, from Alexandria via LeMat-Bulk.

```
Pr4Dy3Tm2
1.0
4.910 -8.562 0.000
4.910 8.562 0.000
0.000 0.000 7.097
Pr Dy Tm
8 6 4
Cartesian
1.622 0.211 0.000
3.114 2.765 3.548
1.622 -0.211 3.548
3.114 -2.765 0.000
6.706 2.765 0.000
8.197 0.211 3.548
6.706 -2.765 3.548
8.197 -0.211 0.000
4.910 5.612 1.774
4.910 5.612 5.323
4.910 0.000 1.774
4.910 0.000 5.323
4.910 -5.612 1.774
4.910 -5.612 5.323
3.419 2.951 0.000
6.401 2.951 3.548
3.419 -2.951 3.548
6.401 -2.951 0.000
```

Its total energy is -4.60 eV per atom. The space group is Cccm (66). The crystal system is orthorhombic.



Entry 4:
The following is a GGA-PBE calculation of PrDyTm2 after structural relaxation, from Alexandria via LeMat-Bulk.

```
PrDyTm2
1.0
5.046 0.000 0.000
0.000 5.046 0.000
0.000 0.000 5.002
Pr Dy Tm
1 1 2
Cartesian
0.000 0.000 0.000
2.523 2.523 0.000
0.000 2.523 2.501
2.523 0.000 2.501
```

Its total energy is -4.55 eV per atom. The space group is P4/mmm (123). The crystal system is tetragonal.



Entry 5:
The following is a GGA-PBE calculation of PrDy2Tm4 after structural relaxation, from Alexandria via LeMat-Bulk.

```
PrDy2Tm4
1.0
8.259 -1.754 0.000
8.259 1.754 0.000
-4.276 0.000 7.575
Pr Dy Tm
1 2 4
Cartesian
0.000 0.000 0.000
-0.681 0.000 3.256
12.924 0.000 4.319
1.834 0.000 5.343
5.177 0.000 1.252
7.066 0.000 6.323
10.409 0.000 2.232
```

Its total energy is -4.52 eV per atom. The space group is C2/m (12). The crystal system is monoclinic.



Entry 6:
The following is a GGA-PBE calculation of Pr2Dy7Tm after structural relaxation, from Alexandria via LeMat-Bulk.

```
Pr2Dy7Tm
1.0
6.175 0.000 0.000
2.025 6.850 0.000
2.073 1.250 7.610
Pr Dy Tm
2 7 1
Cartesian
2.061 2.168 0.770
8.212 5.931 6.840
2.049 4.050 3.805
3.061 5.609 0.778
4.113 1.562 5.303
5.128 4.988 5.309
5.146 3.111 2.301
6.161 6.537 2.306
7.212 2.490 6.832
1.037 0.625 3.805
```

Its total energy is -4.60 eV per atom. The space group is P-1 (2). The crystal system is triclinic.



Entry 7:
The following is a GGA-PBE calculation of Pr5Dy2Tm2 after structural relaxation, from Alexandria via LeMat-Bulk.

```
Pr5Dy2Tm2
1.0
5.132 0.000 0.000
-0.006 8.114 0.000
-2.558 -2.459 7.301
Pr Dy Tm
5 2 2
Cartesian
0.000 0.000 0.000
0.001 1.634 3.254
0.000 6.461 4.877
2.567 -0.806 2.424
2.567 4.021 4.047
-0.001 4.856 1.580
2.568 0.798 5.721
0.000 3.175 6.510
2.568 2.480 0.791
```

Its total energy is -4.65 eV per atom. The space group is P-1 (2). The crystal system is triclinic.



Entry 8:
The following is a GGA-PBE calculation of Pr3Dy2Tm8 after structural relaxation, from Alexandria via LeMat-Bulk.

```
Pr3Dy2Tm8
1.0
6.148 0.000 0.000
1.031 6.067 0.000
2.077 -0.322 11.012
Pr Dy Tm
3 2 8
Cartesian
0.000 0.000 0.000
2.064 2.774 0.881
7.193 2.971 10.130
4.117 4.521 5.089
5.139 1.224 5.923
2.060 0.697 7.580
2.065 1.744 4.264
4.115 3.469 8.412
4.130 5.562 1.747
5.126 0.183 9.265
5.141 2.276 2.599
7.191 4.001 6.748
7.196 5.048 3.431
```

Its total energy is -4.53 eV per atom. The space group is P-1 (2). The crystal system is triclinic.



Copy entry 6 word for word.
The following is a GGA-PBE calculation of Pr2Dy7Tm after structural relaxation, from Alexandria via LeMat-Bulk.

```
Pr2Dy7Tm
1.0
6.175 0.000 0.000
2.025 6.850 0.000
2.073 1.250 7.610
Pr Dy Tm
2 7 1
Cartesian
2.061 2.168 0.770
8.212 5.931 6.840
2.049 4.050 3.805
3.061 5.609 0.778
4.113 1.562 5.303
5.128 4.988 5.309
5.146 3.111 2.301
6.161 6.537 2.306
7.212 2.490 6.832
1.037 0.625 3.805
```

Its total energy is -4.60 eV per atom. The space group is P-1 (2). The crystal system is triclinic.



Please write out number 8 again, unchanged.
The following is a GGA-PBE calculation of Pr3Dy2Tm8 after structural relaxation, from Alexandria via LeMat-Bulk.

```
Pr3Dy2Tm8
1.0
6.148 0.000 0.000
1.031 6.067 0.000
2.077 -0.322 11.012
Pr Dy Tm
3 2 8
Cartesian
0.000 0.000 0.000
2.064 2.774 0.881
7.193 2.971 10.130
4.117 4.521 5.089
5.139 1.224 5.923
2.060 0.697 7.580
2.065 1.744 4.264
4.115 3.469 8.412
4.130 5.562 1.747
5.126 0.183 9.265
5.141 2.276 2.599
7.191 4.001 6.748
7.196 5.048 3.431
```

Its total energy is -4.53 eV per atom. The space group is P-1 (2). The crystal system is triclinic.